No. 1
DFT (PBE) results for a relaxed structure of Bi2Pb2Se5.

a b c (Å): 4.268 4.268 17.366
angles (deg): 90.00 90.00 120.00
Atoms (fractional coordinates):
Bi 0.000 0.000 0.676
Pb 0.667 0.333 0.893
Se 0.667 0.333 0.214
Se 0.667 0.333 0.589
Bi 0.000 0.000 0.324
Se 0.000 0.000 0.000
Se 0.333 0.667 0.411
Se 0.333 0.667 0.786
Pb 0.333 0.667 0.107

## Properties
**VASP energy**: -4.09 eV/atom
**Energy above the most stable polymorph in this dataset**: 0.0 kJ per mole of atoms
**Formation energy without anion corrections**: -10.80 kcal/mol of atoms

---

No. 2
DFT (PBE) results for a relaxed structure of Bi3PbSe.

a b c (Å): 5.612 5.612 5.612
angles (deg): 90.00 90.00 90.00
Atoms (fractional coordinates):
Se 0.000 0.000 0.000
Bi 0.500 0.000 0.000
Bi 0.000 0.000 0.500
Pb 0.500 0.500 0.500
Bi 0.000 0.500 0.000

## Properties
**VASP energy**: -3.39 eV/atom
**Energy above the most stable polymorph in this dataset**: 0.0 kJ per mole of atoms
**Formation energy without anion corrections**: 8.79 kcal/mol of atoms

---

No. 3
DFT (PBE) results for a relaxed structure of Bi2Pb2Se5.

a b c (Å): 4.579 9.446 7.497
angles (deg): 95.34 90.00 104.03
Atoms (fractional coordinates):
Se 0.000 0.000 0.000
Bi 0.851 0.701 0.108
Pb 0.552 0.103 0.306
Se 0.316 0.632 0.883
Se 0.112 0.224 0.525
Pb 0.448 0.897 0.694
Se 0.684 0.368 0.117
Se 0.888 0.776 0.475
Bi 0.149 0.299 0.892

## Properties
**VASP energy**: -3.93 eV/atom
**Energy above the most stable polymorph in this dataset**: 15.9 kJ per mole of atoms
**Formation energy without anion corrections**: -7.01 kcal/mol of atoms

---

No. 4
DFT (PBE) results for a relaxed structure of Bi3PbSe6.

a b c (Å): 7.486 7.486 7.926
angles (deg): 61.82 61.82 60.00
Atoms (fractional coordinates):
Se 0.947 0.533 0.255
Se 0.747 0.051 0.749
Se 0.264 0.947 0.255
Se 0.453 0.747 0.749
Bi 0.657 0.657 0.030
Bi 0.148 0.148 0.555
Pb 0.854 0.854 0.438
Se 0.533 0.264 0.255
Se 0.051 0.453 0.749
Bi 0.345 0.345 0.965

## Properties
**VASP energy**: -3.93 eV/atom
**Energy above the most stable polymorph in this dataset**: 3.2 kJ per mole of atoms
**Formation energy without anion corrections**: -6.97 kcal/mol of atoms

---

No. 5
DFT (PBE) results for a relaxed structure of Bi2PbSe2.

a b c (Å): 5.767 5.767 6.349
angles (deg): 62.99 62.99 90.00
Atoms (fractional coordinates):
Pb 0.000 0.000 0.000
Se 0.250 0.750 0.500
Bi 0.331 0.331 0.338
Se 0.750 0.250 0.500
Bi 0.669 0.669 0.662

## Properties
**VASP energy**: -3.70 eV/atom
**Energy above the most stable polymorph in this dataset**: 5.2 kJ per mole of atoms
**Formation energy without anion corrections**: -0.37 kcal/mol of atoms

---

No. 6
DFT (PBE) results for a relaxed structure of Bi2Pb2Se.

a b c (Å): 8.082 8.082 4.937
angles (deg): 90.00 90.00 90.00
Atoms (fractional coordinates):
Se 0.500 0.500 0.000
Se 0.000 0.000 0.000
Pb 0.351 0.149 0.500
Bi 0.151 0.349 0.000
Pb 0.851 0.351 0.500
Bi 0.349 0.849 0.000
Pb 0.649 0.851 0.500
Pb 0.149 0.649 0.500
Bi 0.849 0.651 0.000
Bi 0.651 0.151 0.000

## Properties
**VASP energy**: -3.65 eV/atom
**Energy above the most stable polymorph in this dataset**: 0.0 kJ per mole of atoms
**Formation energy without anion corrections**: 1.89 kcal/mol of atoms

---

No. 7
DFT (PBE) results for a relaxed structure of Bi2PbSe2.

a b c (Å): 8.659 8.659 3.864
angles (deg): 90.00 90.00 90.00
Atoms (fractional coordinates):
Se 0.669 0.831 0.500
Bi 0.155 0.345 0.000
Pb 0.000 0.000 0.000
Bi 0.345 0.845 0.000
Bi 0.655 0.155 0.000
Se 0.831 0.331 0.500
Se 0.331 0.169 0.500
Pb 0.500 0.500 0.000
Se 0.169 0.669 0.500
Bi 0.845 0.655 0.000

## Properties
**VASP energy**: -3.74 eV/atom
**Energy above the most stable polymorph in this dataset**: 1.9 kJ per mole of atoms
**Formation energy without anion corrections**: -1.14 kcal/mol of atoms

---

No. 8
DFT (PBE) results for a relaxed structure of Bi2PbSe4.

a b c (Å): 14.084 14.084 14.084
angles (deg): 17.30 17.30 17.30
Atoms (fractional coordinates):
Se 0.711 0.711 0.711
Se 0.128 0.128 0.128
Se 0.872 0.872 0.872
Bi 0.425 0.425 0.425
Bi 0.575 0.575 0.575
Pb 0.000 0.000 0.000
Se 0.289 0.289 0.289

## Properties
**VASP energy**: -4.08 eV/atom
**Energy above the most stable polymorph in this dataset**: 0.0 kJ per mole of atoms
**Formation energy without anion corrections**: -10.28 kcal/mol of atoms

---

No. 9
DFT (PBE) results for a relaxed structure of BiPb2Se.

a b c (Å): 6.797 6.797 8.897
angles (deg): 67.54 67.54 90.00
Atoms (fractional coordinates):
Pb 0.375 0.401 0.750
Pb 0.599 0.125 0.250
Se 0.500 0.500 0.000
Pb 0.151 0.625 0.250
Pb 0.875 0.849 0.750
Se 0.250 0.750 0.500
Bi 0.750 0.250 0.500
Bi 0.000 0.000 0.000

## Properties
**VASP energy**: -3.70 eV/atom
**Energy above the most stable polymorph in this dataset**: 17.8 kJ per mole of atoms
**Formation energy without anion corrections**: -0.04 kcal/mol of atoms

---

No. 10
DFT (PBE) results for a relaxed structure of Bi2Pb2Se.

a b c (Å): 8.187 8.187 5.062
angles (deg): 90.00 90.00 90.00
Atoms (fractional coordinates):
Bi 0.629 0.871 0.500
Pb 0.679 0.179 0.000
Se 0.000 0.000 0.000
Bi 0.129 0.629 0.500
Pb 0.179 0.321 0.000
Se 0.500 0.500 0.000
Bi 0.871 0.371 0.500
Pb 0.821 0.679 0.000
Bi 0.371 0.129 0.500
Pb 0.321 0.821 0.000

## Properties
**VASP energy**: -3.65 eV/atom
**Energy above the most stable polymorph in this dataset**: 0.5 kJ per mole of atoms
**Formation energy without anion corrections**: 2.00 kcal/mol of atoms

---

No. 11
DFT (PBE) results for a relaxed structure of Bi4Pb7Se13.

a b c (Å): 7.452 7.452 23.945
angles (deg): 83.61 83.61 33.33
Atoms (fractional coordinates):
Se 0.348 0.348 0.808
Se 0.133 0.133 0.040
Se 0.118 0.118 0.731
Se 0.424 0.424 0.652
Pb 0.500 0.500 0.000
Se 0.867 0.867 0.960
Pb 0.239 0.239 0.286
Pb 0.761 0.761 0.714
Bi 0.061 0.061 0.623
Pb 0.354 0.354 0.542
Se 0.576 0.576 0.348
Bi 0.939 0.939 0.377
Pb 0.979 0.979 0.837
Se 0.380 0.380 0.117
Se 0.291 0.291 0.409
Se 0.000 0.000 0.500
Se 0.620 0.620 0.883
Bi 0.757 0.757 0.086
Se 0.709 0.709 0.591
Se 0.882 0.882 0.269
Se 0.652 0.652 0.192
Pb 0.646 0.646 0.458
Pb 0.021 0.021 0.163
Bi 0.243 0.243 0.914

## Properties
**VASP energy**: -4.10 eV/atom
**Formation energy without anion corrections**: -11.22 kcal/mol of atoms

---

No. 12
DFT (PBE) results for a relaxed structure of Bi2PbSe2.

a b c (Å): 8.681 8.681 3.836
angles (deg): 90.00 90.00 90.00
Atoms (fractional coordinates):
Bi 0.822 0.322 0.500
Bi 0.678 0.822 0.500
Se 0.852 0.648 0.000
Se 0.352 0.852 0.000
Se 0.648 0.148 0.000
Bi 0.178 0.678 0.500
Bi 0.322 0.178 0.500
Pb 0.500 0.500 0.000
Pb 0.000 0.000 0.000
Se 0.148 0.352 0.000

## Properties
**VASP energy**: -3.76 eV/atom
**Energy above the most stable polymorph in this dataset**: 0.0 kJ per mole of atoms
**Formation energy without anion corrections**: -1.60 kcal/mol of atoms